# 1
AlVCu3 | PBE | optimized geometry

Output
The calculation puts the calculated total energy at -4.200 eV/atom. The energy above the most stable polymorph in this dataset is 0 meV per atom. The value obtained for the mass density is 5229 kg/m³. For the energy relative to the elements, the calculation gives 830 meV per atom.

Cell and atoms, written as CIF:
```
data_AlVCu3
_chemical_formula_sum 'Al1 V1 Cu3'
_symmetry_space_group_name_H-M 'P m -3 m'
_symmetry_Int_Tables_number 221
_symmetry_space_group_name_Hall '-P 4 2 3'
_cell_length_a 4.402
_cell_length_b 4.402
_cell_length_c 4.402
_cell_angle_alpha 90.00
_cell_angle_beta 90.00
_cell_angle_gamma 90.00
loop_
_atom_site_label
_atom_site_fract_x
_atom_site_fract_y
_atom_site_fract_z
_atom_site_occupancy
Al1 0.000 0.000 0.000 1
V1 0.500 0.500 0.500 1
Cu1 0.000 0.000 0.500 1
```

# 2
Sr2ScAlSe5 | PBE | optimized geometry

Output
The calculation puts the calculated total energy at -5.080 eV/atom. The value obtained for the uncorrected formation energy is -1.6515 eV/atom. The value obtained for the mass density is 4480 kg/m³.

Cell and atoms, written as CIF:
```
data_Sr2ScAlSe5
_chemical_formula_sum 'Sr8 Sc4 Al4 Se20'
_symmetry_space_group_name_H-M 'C m c 21'
_symmetry_Int_Tables_number 36
_cell_length_a 4.046
_cell_length_b 18.315
_cell_length_c 12.843
_cell_angle_alpha 90.00
_cell_angle_beta 90.00
_cell_angle_gamma 90.00
loop_
_symmetry_equiv_pos_as_xyz
'x,y,z'
'-x,-y,z+1/2'
'-x,y,z'
'x,-y,z+1/2'
'x+1/2,y+1/2,z'
'-x+1/2,-y+1/2,z+1/2'
'-x+1/2,y+1/2,z'
'x+1/2,-y+1/2,z+1/2'
loop_
_atom_site_label
_atom_site_fract_x
_atom_site_fract_y
_atom_site_fract_z
_atom_site_occupancy
Sr1 0.000 0.119 0.000 1
Sr2 0.000 0.127 0.638 1
Sc1 0.000 0.210 0.345 1
Al1 0.000 0.437 0.751 1
Se1 0.000 0.051 0.358 1
Se2 0.000 0.293 0.984 1
Se3 0.000 0.310 0.693 1
Se4 0.000 0.352 0.322 1
Se5 0.000 0.499 0.591 1
```

- Look up the calculated total energy of the first one.
  -4.200 eV/atom

What did the first record say?
AlVCu3 | PBE | optimized geometry

Output
The calculation puts the calculated total energy at -4.200 eV/atom. The energy above the most stable polymorph in this dataset is 0 meV per atom. The value obtained for the mass density is 5229 kg/m³. For the energy relative to the elements, the calculation gives 830 meV per atom.

Cell and atoms, written as CIF:
```
data_AlVCu3
_chemical_formula_sum 'Al1 V1 Cu3'
_symmetry_space_group_name_H-M 'P m -3 m'
_symmetry_Int_Tables_number 221
_symmetry_space_group_name_Hall '-P 4 2 3'
_cell_length_a 4.402
_cell_length_b 4.402
_cell_length_c 4.402
_cell_angle_alpha 90.00
_cell_angle_beta 90.00
_cell_angle_gamma 90.00
loop_
_atom_site_label
_atom_site_fract_x
_atom_site_fract_y
_atom_site_fract_z
_atom_site_occupancy
Al1 0.000 0.000 0.000 1
V1 0.500 0.500 0.500 1
Cu1 0.000 0.000 0.500 1
```

Copy entry 1 word for word.
AlVCu3 | PBE | optimized geometry

Output
The calculation puts the calculated total energy at -4.200 eV/atom. The energy above the most stable polymorph in this dataset is 0 meV per atom. The value obtained for the mass density is 5229 kg/m³. For the energy relative to the elements, the calculation gives 830 meV per atom.

Cell and atoms, written as CIF:
```
data_AlVCu3
_chemical_formula_sum 'Al1 V1 Cu3'
_symmetry_space_group_name_H-M 'P m -3 m'
_symmetry_Int_Tables_number 221
_symmetry_space_group_name_Hall '-P 4 2 3'
_cell_length_a 4.402
_cell_length_b 4.402
_cell_length_c 4.402
_cell_angle_alpha 90.00
_cell_angle_beta 90.00
_cell_angle_gamma 90.00
loop_
_atom_site_label
_atom_site_fract_x
_atom_site_fract_y
_atom_site_fract_z
_atom_site_occupancy
Al1 0.000 0.000 0.000 1
V1 0.500 0.500 0.500 1
Cu1 0.000 0.000 0.500 1
```